# CsIn2Te4Au

CsIn2Te4Au after structural relaxation (GGA-PBE, Alexandria via LeMat-Bulk).

The structure in CIF format:
```
data_CsIn2Te4Au
_cell_length_a 6.799
_cell_length_b 8.753
_cell_length_c 8.753
_cell_angle_alpha 45.61
_cell_angle_beta 67.15
_cell_angle_gamma 67.15
_space_group_name_H-M_alt 'P 1'
_space_group_IT_number 1
_space_group_name_Hall 'P 1'
loop_
_atom_site_label
_atom_site_fract_x
_atom_site_fract_y
_atom_site_fract_z
_atom_site_occupancy
Cs1 0.000 0.000 0.000 1
In1 0.250 0.250 0.250 1
In2 0.750 0.750 0.750 1
Te1 0.443 0.157 0.557 1
Te2 0.157 0.843 0.443 1
Te3 0.843 0.557 0.157 1
Te4 0.557 0.443 0.843 1
Au1 0.500 0.500 0.500 1
```

Properties
As for the crystal system: orthorhombic. For the density of states at the Fermi level, the calculation gives 4.64 states/eV/cell. The value obtained for the total magnetization is 0.0 μB/f.u. The calculation puts the total energy at -3.084 eV/atom. Its raw formation energy is -0.31 eV per atom.